Record 1
Material: Cd2CoS
Method: DFT, GGA-PBE
State: optimized geometry

Uncorrected formation energy   0.401 eV/atom
Calculated volume   19.3 A^3/atom

Unit cell a=7.4875 b=7.4875 c=5.9673 alpha=51.14 beta=51.14 gamma=90.00
Last column: nearest neighbours and their distance in Å.
Element x y z (fractional)
S1 0.5000 0.5000 0.0000  4 Cd 2.69, 2 Co 2.75
S2 0.2500 0.7500 0.5000  4 Cd 2.69, 2 Co 2.75
Co1 0.0000 0.0000 0.0000  2 S 2.75, 4 Cd 2.79
Co2 0.7500 0.2500 0.5000  2 S 2.75, 4 Cd 2.79
Cd1 0.6153 0.1250 0.2500  2 S 2.69, 2 Cd 2.76, 2 Co 2.79
Cd2 0.1347 0.6250 0.2500  2 S 2.69, 2 Cd 2.76, 2 Co 2.79
Cd3 0.3750 0.3847 0.7500  2 S 2.69, 2 Cd 2.76, 2 Co 2.79
Cd4 0.8750 0.8653 0.7500  2 S 2.69, 2 Cd 2.76, 2 Co 2.79

Record 2
Material: Nb2InRe
Method: DFT, GGA-PBE
State: optimized geometry

Calculated volume   18.6 A^3/atom
Formation energy   -6 kJ/mol of formula units

Unit cell a=3.1042 b=3.1042 c=7.7321 alpha=90.00 beta=90.00 gamma=90.00
Last column: nearest neighbours and their distance in Å.
Element x y z (fractional)
Re1 0.5000 0.5000 0.0000  8 Nb 2.73
Nb1 0.0000 0.0000 0.7896  4 Re 2.73
Nb2 0.0000 0.0000 0.2104  4 Re 2.73
In1 0.5000 0.5000 0.5000  4 In 3.10, 8 Nb 3.14

Record 3
Material: Si2Tc
Method: DFT, GGA-PBE
State: optimized geometry

Uncorrected formation energy   -0.389 eV/atom
Calculated volume   13.2 A^3/atom

Unit cell a=4.5096 b=4.5096 c=4.5096 alpha=138.68 beta=138.68 gamma=59.87
Last column: nearest neighbours and their distance in Å.
Element x y z (fractional)
Si1 0.3326 0.3326 0.0000  5 Si 2.59-2.62, 5 Tc 2.60
Si2 0.6674 0.6674 0.0000  5 Si 2.59-2.62, 5 Tc 2.60
Tc1 0.0000 0.0000 0.0000  10 Si 2.60

Record 4
Material: Ba2AgHgRh
Method: DFT, GGA-PBE
State: optimized geometry

Calculated volume   37.0 A^3/atom
Formation energy   -79 kJ/mol of formula units

Unit cell a=5.9336 b=5.9336 c=5.2529 alpha=90.00 beta=90.00 gamma=90.00
Last column: nearest neighbours and their distance in Å.
Element x y z (fractional)
Rh1 0.0000 0.0000 0.0000  2 Hg 2.63
Hg1 0.0000 0.0000 0.5000  2 Rh 2.63
Ag1 0.5000 0.5000 0.5000  8 Ba 3.96, 4 Hg 4.20
Ba1 0.0000 0.5000 0.0000  2 Rh 2.97
Ba2 0.5000 0.0000 0.0000  2 Rh 2.97

Record 5
Material: BeRhPb
Method: DFT, GGA-PBE
State: optimized geometry

Calculated volume   17.0 A^3/atom
Formation energy   9 kJ/mol of formula units

Unit cell a=3.9383 b=3.9383 c=3.7992 alpha=90.00 beta=90.00 gamma=120.00
Last column: nearest neighbours and their distance in Å.
Element x y z (fractional)
Pb1 0.6667 0.3333 0.3333  6 Be 2.96, 6 Rh 2.96
Be1 0.0000 0.0000 0.8331  3 Rh 2.27
Rh1 0.3333 0.6667 0.8334  3 Be 2.27

Record 6
Material: LiCuGe2
Method: DFT, GGA-PBE
State: optimized geometry

Calculated volume   15.9 A^3/atom
Formation energy   -10 kJ/mol of formula units

Unit cell a=3.1490 b=3.1490 c=6.4305 alpha=90.00 beta=90.00 gamma=90.00
Last column: nearest neighbours and their distance in Å.
Element x y z (fractional)
Ge1 0.0000 0.0000 0.7741  4 Cu 2.66, 4 Li 2.84, 1 Ge 2.90
Ge2 0.0000 0.0000 0.2259  4 Cu 2.66, 4 Li 2.84, 1 Ge 2.90
Cu1 0.5000 0.5000 0.0000  8 Ge 2.66
Li1 0.5000 0.5000 0.5000  8 Ge 2.84, 4 Li 3.15

Record 7
Material: Mg3AlHg
Method: DFT, GGA-PBE
State: optimized geometry

Calculated volume   21.1 A^3/atom
Formation energy   -24 kJ/mol of formula units

Unit cell a=5.0861 b=5.2282 c=8.3083 alpha=89.98 beta=107.24 gamma=90.04
Last column: nearest neighbours and their distance in Å.
Element x y z (fractional)
Mg1 0.5645 0.3890 0.4135  2 Hg 2.96-2.99, 3 Al 2.96-3.15, 5 Mg 3.10-3.12
Mg2 0.7630 0.3463 0.8060  3 Hg 2.92-3.05, 4 Al 2.94-3.25, 2 Mg 3.10-3.12
Mg3 0.0675 0.7987 0.4191  2 Al 2.93-2.96, 3 Hg 2.95-3.21, 5 Mg 3.10-3.16
Mg4 0.9576 0.2982 0.1958  2 Al 2.94-2.96, 3 Hg 2.95-3.21, 5 Mg 3.10-3.16
Mg5 0.4595 0.8891 0.2007  3 Al 2.96-3.15, 2 Hg 2.96-2.98, 5 Mg 3.10-3.12
Mg6 0.2648 0.8468 0.8086  3 Hg 2.92-3.04, 4 Al 2.94-3.25, 2 Mg 3.10-3.12
Al1 0.3683 0.3818 0.0166  9 Mg 2.94-3.25
Al2 0.6579 0.8815 0.5980  9 Mg 2.93-3.25
Hg1 0.8674 0.8061 0.0145  8 Mg 2.92-3.21
Hg2 0.1579 0.3065 0.5999  8 Mg 2.92-3.21

Record 8
Material: NaCa4P2
Method: DFT, GGA-PBE
State: optimized geometry

Calculated volume   30.0 A^3/atom
Formation energy   -484 kJ/mol of formula units

Unit cell a=4.5694 b=4.5694 c=11.9112 alpha=78.94 beta=78.94 gamma=60.00
Last column: nearest neighbours and their distance in Å.
Element x y z (fractional)
Na1 0.5000 0.5000 0.5000  6 Ca 3.53, 2 P 3.70
Ca1 0.6968 0.6968 0.9097  4 P 2.84-3.16
Ca2 0.9007 0.9007 0.2978  3 P 2.96
Ca3 0.3032 0.3032 0.0903  4 P 2.84-3.16
Ca4 0.0993 0.0993 0.7022  3 P 2.96
P1 0.6061 0.6061 0.1817  7 Ca 2.84-3.16
P2 0.3939 0.3939 0.8183  7 Ca 2.84-3.16

Record 9
Material: Cr4Pt
Method: DFT, GGA-PBE
State: optimized geometry

Calculated volume   13.5 A^3/atom
Formation energy   258 kJ/mol of formula units

Unit cell a=5.5294 b=5.5294 c=5.5294 alpha=140.71 beta=140.71 gamma=56.78
Last column: nearest neighbours and their distance in Å.
Element x y z (fractional)
Cr1 0.2500 0.7500 0.5000  4 Cr 2.28
Cr2 0.6137 0.6137 0.0000  5 Cr 2.21-2.28
Cr3 0.3863 0.3863 0.0000  5 Cr 2.21-2.28
Cr4 0.7500 0.2500 0.5000  4 Cr 2.28
Pt1 0.0000 0.0000 0.0000  16 Cr 2.85-3.06

Record 10
Material: Na2ScRh2O6
Method: DFT, GGA-PBE
State: optimized geometry

Uncorrected formation energy   -1.637 eV/atom
Calculated volume   12.4 A^3/atom

Unit cell a=5.3394 b=5.3394 c=5.8727 alpha=99.08 beta=99.08 gamma=120.39
Last column: nearest neighbours and their distance in Å.
Element x y z (fractional)
Na1 0.8300 0.1700 0.0000  6 O 2.38-2.49
Na2 0.1700 0.8300 0.0000  6 O 2.38-2.49
Sc1 0.0000 0.0000 0.5000  6 O 2.11-2.14
Rh1 0.3361 0.6639 0.5000  6 O 2.06-2.08
Rh2 0.6639 0.3361 0.5000  6 O 2.06-2.08
O1 0.7348 0.7348 0.7021  2 Rh 2.08, 1 Sc 2.11
O2 0.0616 0.4095 0.6956  2 Rh 2.06-2.08, 1 Sc 2.14
O3 0.2652 0.2652 0.2979  2 Rh 2.08, 1 Sc 2.11
O4 0.4095 0.0616 0.6956  2 Rh 2.06-2.08, 1 Sc 2.14
O5 0.9384 0.5905 0.3044  2 Rh 2.06-2.08, 1 Sc 2.14
O6 0.5905 0.9384 0.3044  2 Rh 2.06-2.08, 1 Sc 2.14

Record 11
Material: Sr3NbRu
Method: DFT, GGA-PBE
State: optimized geometry

Calculated volume   38.0 A^3/atom
Formation energy   786 kJ/mol of formula units

Unit cell a=5.7466 b=5.7466 c=5.7466 alpha=90.00 beta=90.00 gamma=90.00
Last column: nearest neighbours and their distance in Å.
Element x y z (fractional)
Ru1 0.5000 0.5000 0.5000  12 Sr 4.06
Nb1 0.0000 0.0000 0.0000  6 Sr 2.87
Sr1 0.0000 0.5000 0.0000  2 Nb 2.87
Sr2 0.0000 0.0000 0.5000  2 Nb 2.87
Sr3 0.5000 0.0000 0.0000  2 Nb 2.87

Record 12
Material: Ca3Tl3Pd2
Method: DFT, GGA-PBE
State: optimized geometry

Calculated volume   26.1 A^3/atom
Formation energy   -382 kJ/mol of formula units

Unit cell a=4.4195 b=5.9730 c=17.0108 alpha=90.00 beta=90.00 gamma=111.71
Last column: nearest neighbours and their distance in Å.
Element x y z (fractional)
Ca1 0.9378 0.8757 0.3903  3 Pd 3.20-3.24, 7 Tl 3.32-3.53
Ca2 0.0622 0.1243 0.8903  3 Pd 3.20-3.24, 7 Tl 3.32-3.53
Ca3 0.9378 0.8757 0.1097  3 Pd 3.20-3.24, 7 Tl 3.32-3.53
Ca4 0.0622 0.1243 0.6097  3 Pd 3.20-3.24, 7 Tl 3.32-3.53
Ca5 0.6640 0.3279 0.2500  3 Tl 3.15-3.26, 4 Pd 3.24
Ca6 0.3360 0.6721 0.7500  3 Tl 3.15-3.26, 4 Pd 3.24
Tl1 0.6407 0.2815 0.4642  3 Pd 2.79-2.98
Tl2 0.3593 0.7185 0.9642  3 Pd 2.79-2.98
Tl3 0.6407 0.2815 0.0358  3 Pd 2.79-2.98
Tl4 0.3593 0.7185 0.5358  3 Pd 2.79-2.98
Tl5 0.3799 0.7597 0.2500  2 Pd 2.80
Tl6 0.6201 0.2403 0.7500  2 Pd 2.80
Pd1 0.7702 0.5404 0.8823  4 Tl 2.79-2.98
Pd2 0.2298 0.4596 0.3823  4 Tl 2.79-2.98
Pd3 0.7702 0.5404 0.6177  4 Tl 2.79-2.98
Pd4 0.2298 0.4596 0.1177  4 Tl 2.79-2.98

Record 13
Material: NaSbO2
Method: DFT, GGA-PBE
State: optimized geometry

Uncorrected formation energy   -1.520 eV/atom
Calculated volume   19.9 A^3/atom

Unit cell a=19.9460 b=6.4424 c=4.9567 alpha=90.00 beta=90.00 gamma=90.00
Last column: nearest neighbours and their distance in Å.
Element x y z (fractional)
Sb1 0.0980 0.0572 0.2627  3 O 1.93-2.03
Sb2 0.0980 0.4428 0.7627  3 O 1.93-2.03
Sb3 0.4020 0.5572 0.2627  3 O 1.93-2.03
Sb4 0.4020 0.9428 0.7627  3 O 1.93-2.03
Sb5 0.5980 0.0572 0.2373  3 O 1.93-2.03
Sb6 0.5980 0.4428 0.7373  3 O 1.93-2.03
Sb7 0.9020 0.5572 0.2373  3 O 1.93-2.03
Sb8 0.9020 0.9428 0.7373  3 O 1.93-2.03
O1 0.1124 0.1426 0.8717  2 Sb 2.03
O2 0.1124 0.3574 0.3717  2 Sb 2.03
O3 0.1868 0.9442 0.3012  1 Sb 1.93
O4 0.1868 0.5558 0.8012  1 Sb 1.93
O5 0.3132 0.0558 0.8012  1 Sb 1.93
O6 0.3132 0.4442 0.3012  1 Sb 1.93
O7 0.3876 0.6426 0.8717  2 Sb 2.03
O8 0.3876 0.8574 0.3717  2 Sb 2.03
O9 0.6124 0.1426 0.6283  2 Sb 2.03
O10 0.6124 0.3574 0.1283  2 Sb 2.03
O11 0.6868 0.5558 0.6988  1 Sb 1.93
O12 0.6868 0.9442 0.1988  1 Sb 1.93
O13 0.8132 0.0558 0.6988  1 Sb 1.93
O14 0.8132 0.4442 0.1988  1 Sb 1.93
O15 0.8876 0.6426 0.6283  2 Sb 2.03
O16 0.8876 0.8574 0.1283  2 Sb 2.03
Na1 0.2061 0.5838 0.2850  5 O 2.32-2.59
Na2 0.2061 0.9162 0.7850  5 O 2.32-2.59
Na3 0.2939 0.0838 0.2850  5 O 2.32-2.59
Na4 0.2939 0.4162 0.7850  5 O 2.32-2.59
Na5 0.7061 0.5838 0.2150  5 O 2.32-2.59
Na6 0.7061 0.9162 0.7150  5 O 2.32-2.59
Na7 0.7939 0.0838 0.2150  5 O 2.32-2.59
Na8 0.7939 0.4162 0.7150  5 O 2.32-2.59

Record 14
Material: Cu2Bi2Pb
Method: DFT, GGA-PBE
State: optimized geometry

Calculated volume   24.6 A^3/atom
Formation energy   63 kJ/mol of formula units

Unit cell a=3.5557 b=3.5557 c=10.0524 alpha=79.81 beta=79.81 gamma=90.00
Last column: nearest neighbours and their distance in Å.
Element x y z (fractional)
Pb1 0.0000 0.0000 0.0000  4 Pb 3.56, 8 Bi 3.63
Bi1 0.3655 0.3655 0.2690  4 Cu 2.87
Bi2 0.6345 0.6345 0.7310  4 Cu 2.87
Cu1 0.7500 0.2500 0.5000  4 Cu 2.51
Cu2 0.2500 0.7500 0.5000  4 Cu 2.51

Record 15
Material: PaVH2
Method: DFT, GGA-PBE
State: optimized geometry

Electronic total energy   -6.418 eV per atom
Calculated volume   10.8 A^3/atom

Unit cell a=2.9659 b=2.9659 c=5.9121 alpha=75.47 beta=75.47 gamma=60.00
Last column: nearest neighbours and their distance in Å.
Element x y z (fractional)
H1 0.7188 0.7188 0.8437  3 V 1.93
H2 0.2812 0.2812 0.1563  3 V 1.93
Pa1 0.5000 0.5000 0.5000  6 H 2.59
V1 0.0000 0.0000 0.0000  6 H 1.93

Record 16
Material: HgPdOF2
Method: DFT, GGA-PBE
State: optimized geometry

Uncorrected formation energy   -0.634 eV/atom
Calculated volume   14.7 A^3/atom

Unit cell a=4.3006 b=4.3006 c=3.9685 alpha=90.00 beta=90.00 gamma=90.00
Last column: nearest neighbours and their distance in Å.
Element x y z (fractional)
O1 0.0000 0.0000 0.5000  2 Pd 1.98
Hg1 0.5000 0.5000 0.5000  8 F 2.93, 4 O 3.04
Pd1 0.0000 0.0000 0.0000  2 O 1.98, 4 F 2.15
F1 0.0000 0.5000 0.0000  2 Pd 2.15
F2 0.5000 0.0000 0.0000  2 Pd 2.15

Record 17
Material: Re5Tc4
Method: DFT, GGA-PBE
State: optimized geometry

Calculated volume   14.8 A^3/atom
Formation energy   56 kJ/mol of formula units

Unit cell a=3.8882 b=6.1759 c=6.1759 alpha=84.31 beta=71.65 gamma=71.65
Last column: nearest neighbours and their distance in Å.
Element x y z (fractional)
Re1 0.0000 0.0000 0.0000  8 Re 2.76, 4 Tc 2.77
Re2 0.6671 0.0000 0.6658  6 Re 2.75-2.77, 6 Tc 2.76
Re3 0.3329 0.3342 0.0000  6 Re 2.75-2.77, 6 Tc 2.76
Re4 0.6671 0.6658 0.0000  6 Re 2.75-2.77, 6 Tc 2.76
Re5 0.3329 0.0000 0.3342  6 Re 2.75-2.77, 6 Tc 2.76
Tc1 0.6656 0.3344 0.3344  5 Tc 2.75, 7 Re 2.76-2.77
Tc2 0.3344 0.6656 0.6656  5 Tc 2.75, 7 Re 2.76-2.77
Tc3 0.0000 0.6656 0.3344  5 Tc 2.75, 7 Re 2.76-2.77
Tc4 0.0000 0.3344 0.6656  5 Tc 2.75, 7 Re 2.76-2.77

Record 18
Material: PdRh5
Method: DFT, GGA-PBE
State: optimized geometry

Calculated volume   14.4 A^3/atom
Formation energy   31 kJ/mol of formula units

Unit cell a=3.8597 b=3.8480 c=6.1127 alpha=108.35 beta=90.00 gamma=90.00
Last column: nearest neighbours and their distance in Å.
Element x y z (fractional)
Rh1 0.0000 0.6699 0.3398  10 Rh 2.68-2.76, 2 Pd 2.75
Rh2 0.0000 0.3301 0.6602  10 Rh 2.68-2.76, 2 Pd 2.75
Rh3 0.5000 0.5000 0.0000  4 Pd 2.73, 8 Rh 2.75-2.76
Rh4 0.5000 0.1688 0.3375  10 Rh 2.69-2.75, 2 Pd 2.75
Rh5 0.5000 0.8312 0.6625  10 Rh 2.69-2.75, 2 Pd 2.75
Pd1 0.0000 0.0000 0.0000  12 Rh 2.73-2.75

Record 19
Material: Tb3MgIr8
Method: DFT, GGA-PBE
State: optimized geometry

Calculated volume   17.9 A^3/atom
Formation energy   -776 kJ/mol of formula units

Unit cell a=5.3348 b=5.3348 c=9.2485 alpha=73.24 beta=73.24 gamma=60.00
Last column: nearest neighbours and their distance in Å.
Element x y z (fractional)
Tb1 0.3757 0.3757 0.8729  12 Ir 3.13-3.16, 4 Tb 3.30-3.33
Tb2 0.9966 0.9966 0.0102  12 Ir 3.09-3.23, 1 Mg 3.22, 3 Tb 3.30
Tb3 0.5029 0.5029 0.4913  12 Ir 3.06-3.16, 3 Mg 3.23, 1 Tb 3.33
Mg1 0.8735 0.8735 0.3795  12 Ir 3.08-3.14, 4 Tb 3.22-3.23
Ir1 0.9374 0.4369 0.1888  6 Ir 2.65-2.68
Ir2 0.4388 0.9379 0.6854  6 Ir 2.66-2.68
Ir3 0.4369 0.4369 0.1888  6 Ir 2.65-2.68
Ir4 0.9379 0.9379 0.6854  6 Ir 2.66-2.68
Ir5 0.1878 0.1878 0.4365  6 Ir 2.65-2.66
Ir6 0.6876 0.6876 0.9371  6 Ir 2.68
Ir7 0.4369 0.9374 0.1888  6 Ir 2.65-2.68
Ir8 0.9379 0.4388 0.6854  6 Ir 2.66-2.68

Record 20
Material: RbTiTeI2
Method: DFT, GGA-PBE
State: optimized geometry

Uncorrected formation energy   -0.813 eV/atom
Calculated volume   37.3 A^3/atom

Unit cell a=5.8908 b=5.8908 c=5.3740 alpha=90.00 beta=90.00 gamma=90.00
Last column: nearest neighbours and their distance in Å.
Element x y z (fractional)
I1 0.0000 0.5000 0.0000  2 Ti 2.95
I2 0.5000 0.0000 0.0000  2 Ti 2.95
Te1 0.0000 0.0000 0.5000  2 Ti 2.69
Rb1 0.5000 0.5000 0.5000  8 I 3.99, 4 Te 4.17
Ti1 0.0000 0.0000 0.0000  2 Te 2.69, 4 I 2.95